1.
Na2GeF4 | GGA-PBE | optimized geometry

The uncorrected formation energy is -2.4654 eV per atom. The distance to the lowest polymorph of the same formula comes out at 0.00 eV/f.u. As for the density: 2.9 g/cm³. For the density of states at the Fermi level, the calculation gives 0.000 states/eV per cell.

It has space group Fmm2 (No. 42), with a = 6.856 Å, b = 9.544 Å, c = 6.750 Å, α = 90.00°, β = 90.00° and γ = 90.00°. The asymmetric unit holds Na at (0.250, 0.250, 0.000), Ge at (0.000, 0.000, 0.236), F at (0.000, 0.229, 0.258) and F at (0.197, 0.000, 0.435).

***

2.
In2GeOs | GGA-PBE | optimized geometry

For the formation energy, the calculation gives 0.07 eV/atom. As for the density: 9.9 g/cm³. For the density of states at the Fermi level, the calculation gives 3.454 states/eV per cell.

It has space group C2/m (No. 12), with a = 9.832 Å, b = 3.258 Å, c = 10.330 Å, α = 90.00°, β = 95.63° and γ = 90.00°. The asymmetric unit holds In at (0.081, 0.000, 0.236), In at (0.122, 0.500, 0.592), Ge at (0.130, 0.500, 0.979) and Os at (0.200, 0.000, 0.811).

***

3.
SiC3 | GGA-PBE | optimized geometry

The uncorrected formation energy is 2.6519 eV per atom. The distance to the lowest polymorph of the same formula comes out at 8.61 eV/f.u. As for the density: 2.3 g/cm³. For the density of states at the Fermi level, the calculation gives 6.748 states/eV per cell.

It has space group P6_3/mmc (No. 194), with a = 3.9156 Å, b = 3.9156 Å, c = 14.1513 Å, α = 90.00°, β = 90.00° and γ = 120.00°. The asymmetric unit holds Si at (0.0000, 0.0000, 0.0000), Si at (0.3333, 0.6667, 0.2500), C at (0.0000, 0.5000, 0.0000) and C at (0.1256, 0.2513, 0.7500).

***

4.
DyHo12Er7 | GGA-PBE | optimized geometry

For the formation energy, the calculation gives 0.34 eV/atom. The distance to the lowest polymorph of the same formula comes out at 0.64 eV/f.u. As for the density: 8.5 g/cm³. For the density of states at the Fermi level, the calculation gives 83.073 states/eV per cell.

It has space group R-3 (No. 148, hexagonal axes), with a = 18.3779 Å, b = 18.3779 Å, c = 6.6124 Å, α = 90.00°, β = 90.00° and γ = 120.00°. The asymmetric unit holds Dy at (0.0000, 0.0000, 0.0000), Ho at (0.0007, 0.2123, 0.2819), Ho at (0.0064, 0.5345, 0.7401), Er at (0.0000, 0.0000, 0.5000) and Er at (0.0083, 0.1562, 0.7794).

***

5.
ScSbTeOs2 | GGA-PBE | optimized geometry

The uncorrected formation energy is 1.4023 eV per atom. As for the density: 8.9 g/cm³. For the density of states at the Fermi level, the calculation gives 4.683 states/eV per cell.

It has space group P4/mmm (No. 123), with a = 4.861 Å, b = 4.861 Å, c = 5.326 Å, α = 90.00°, β = 90.00° and γ = 90.00°. The asymmetric unit holds Sc at (0.000, 0.000, 0.000), Sb at (0.000, 0.000, 0.500), Te at (0.500, 0.500, 0.000) and Os at (0.000, 0.500, 0.500).

***

6.
Ho12Pd6Au | GGA-PBE | optimized geometry

For the formation energy, the calculation gives -0.53 eV/atom. As for the density: 8.7 g/cm³. For the density of states at the Fermi level, the calculation gives 55.994 states/eV per cell.

It has space group R-3 (No. 148, hexagonal axes), with a = 12.9138 Å, b = 12.9138 Å, c = 11.1188 Å, α = 90.00°, β = 90.00° and γ = 120.00°. The asymmetric unit holds Ho at (0.0297, 0.8181, 0.3848), Ho at (0.0395, 0.8268, 0.8854), Pd at (0.0434, 0.7816, 0.6420) and Au at (0.0000, 0.0000, 0.0000).

***

7.
NaUCu2Br8 | GGA-PBE | optimized geometry

The uncorrected formation energy is -0.9573 eV per atom. As for the density: 4.3 g/cm³. For the density of states at the Fermi level, the calculation gives 3.166 states/eV per cell.

It has space group P-1 (No. 2), with a = 6.835 Å, b = 7.329 Å, c = 8.729 Å, α = 68.60°, β = 89.11° and γ = 80.37°. The asymmetric unit holds Na at (0.000, 0.000, 0.000), U at (0.000, 0.000, 0.500), Cu at (0.468, 0.375, 0.148), Br at (0.121, 0.219, 0.658), Br at (0.145, 0.233, 0.210), Br at (0.357, 0.748, 0.579) and Br at (0.392, 0.736, 0.066).

***

8.
Ta2PbAu | GGA-PBE | optimized geometry

For the formation energy, the calculation gives 0.27 eV/atom. As for the density: 16.5 g/cm³. For the density of states at the Fermi level, the calculation gives 2.543 states/eV per cell.

It has space group I4/mmm (No. 139), with a = 4.150 Å, b = 4.150 Å, c = 8.935 Å, α = 90.00°, β = 90.00° and γ = 90.00°. The asymmetric unit holds Ta at (0.000, 0.500, 0.250), Pb at (0.000, 0.000, 0.000) and Au at (0.000, 0.000, 0.500).